Entry 1:
{
  "formula": "Pu2Zn2Si3",
  "functional": "PBE-GGA",
  "state": "relaxed",
  "lattice": [[-1.342, -3.353, -2.301], [-3.838, -1.960, 5.095], [-6.149, 6.624, -2.083]],
  "species": ["Si", "Si", "Si", "Si", "Si", "Si", "Zn", "Zn", "Zn", "Zn", "Pu", "Pu", "Pu", "Pu"],
  "frac_coords": [[0.780, 0.250, 0.560], [0.220, 0.750, 0.440], [0.441, 0.574, 0.882], [0.441, 0.926, 0.882], [0.559, 0.426, 0.118], [0.559, 0.074, 0.118], [0.685, 0.558, 0.370], [0.685, 0.942, 0.370], [0.315, 0.058, 0.630], [0.315, 0.442, 0.630], [0.156, 0.250, 0.312], [0.844, 0.750, 0.688], [0.952, 0.250, 0.904], [0.048, 0.750, 0.096]],
  "dos_at_fermi_per_ev_atom": 2.4040,
  "raw_formation_energy_ev_per_atom": -0.3454,
  "spacegroup": "No. 63"
}

***

Entry 2:
{
  "formula": "LaTbDy2S4",
  "functional": "PBE-GGA",
  "state": "relaxed",
  "lattice": [[-0.296, 2.800, 2.748], [2.529, -4.373, 4.729], [6.874, 0.581, 0.150]],
  "species": ["Tb", "S", "S", "S", "S", "La", "Dy", "Dy"],
  "frac_coords": [[0.000, 0.500, 0.500], [0.000, 0.236, 0.263], [0.000, 0.764, 0.737], [0.500, 0.758, 0.255], [0.500, 0.242, 0.745], [0.500, 0.500, 0.000], [0.000, 0.000, 0.000], [0.500, 0.000, 0.500]],
  "dos_at_fermi_per_ev_atom": 0.6384,
  "raw_formation_energy_ev_per_atom": -2.0323,
  "spacegroup": "No. 10"
}

***

Entry 3:
{
  "formula": "Ba2Pb",
  "functional": "PBE-GGA",
  "state": "relaxed",
  "lattice": [[5.785, 0.365, 4.403], [-5.606, 4.048, 2.272], [-2.212, -6.933, -0.157]],
  "species": ["Ba", "Ba", "Ba", "Ba", "Pb", "Pb"],
  "frac_coords": [[0.811, 0.311, 0.122], [0.689, 0.811, 0.500], [0.189, 0.689, 0.878], [0.311, 0.189, 0.500], [0.250, 0.250, 0.000], [0.750, 0.750, 0.000]],
  "dos_at_fermi_per_ev_atom": 0.8853,
  "delta_e_f_mev_per_atom": -414,
  "spacegroup": "No. 140"
}

***

Entry 4:
{
  "formula": "GdDy2Al",
  "functional": "PBE-GGA",
  "state": "relaxed",
  "lattice": [[-3.719, 2.603, 1.385], [-2.354, -3.987, 1.172], [1.806, 0.232, 4.416]],
  "species": ["Al", "Gd", "Dy", "Dy"],
  "frac_coords": [[0.500, 0.000, 0.000], [0.500, 0.500, 0.500], [0.000, 0.500, 0.000], [0.000, 0.000, 0.500]],
  "dos_at_fermi_per_ev_atom": 1.1169,
  "delta_e_f_mev_per_atom": -193,
  "spacegroup": "No. 123"
}

***

Entry 5:
{
  "formula": "Ba2PtO",
  "functional": "PBE-GGA",
  "state": "relaxed",
  "lattice": [[-7.076, 1.706, 1.305], [-2.136, -5.132, -4.876], [-4.738, -4.753, 1.472]],
  "species": ["Pt", "Pt", "O", "O", "Ba", "Ba", "Ba", "Ba"],
  "frac_coords": [[0.000, 0.000, 0.000], [0.750, 0.250, 0.500], [0.250, 0.750, 0.500], [0.500, 0.500, 0.000], [0.375, 0.436, 0.750], [0.875, 0.814, 0.750], [0.564, 0.125, 0.250], [0.186, 0.625, 0.250]],
  "dos_at_fermi_per_ev_atom": 0.0000,
  "raw_formation_energy_ev_per_atom": -1.4467,
  "spacegroup": "No. 122"
}

***

Entry 6:
{
  "formula": "LaZnSe",
  "functional": "PBE-GGA",
  "state": "relaxed",
  "lattice": [[-5.252, 1.687, -1.599], [-5.309, 0.717, 2.070], [-0.492, 3.640, 0.953]],
  "species": ["Se", "La", "Zn"],
  "frac_coords": [[0.328, 0.328, 0.672], [0.996, 0.996, 0.004], [0.676, 0.676, 0.324]],
  "dos_at_fermi_per_ev_atom": 0.7800,
  "raw_formation_energy_ev_per_atom": -0.8228,
  "spacegroup": "No. 107"
}